No. 1
Entry from the Alexandria database: a PBEsol-optimized structure of LiCa2Os (meta-GGA SCAN).

abc: 3.4099 3.4099 7.7672
angles: 90.00 90.00 90.00
With the nearest neighbours (Å) after each atom.
Space group P4mm (No. 99)
Symmetry-distinct sites (fractional):
Li (0.0000, 0.0000, 0.0000)  4 Os 2.58, 1 Ca 2.68
Ca (0.0000, 0.0000, 0.3456)  1 Li 2.68, 4 Os 2.99
Ca (0.5000, 0.5000, 0.7607)  1 Os 2.77, 4 Li 3.04
Os (0.5000, 0.5000, 0.1172)  4 Li 2.58, 1 Ca 2.77

=====

No. 2
Entry from the Alexandria database: a PBEsol-optimized structure of CeI4O12 (meta-GGA SCAN).

abc: 9.8076 9.8076 5.2749
angles: 90.00 90.00 90.00
With the nearest neighbours (Å) after each atom.
Space group P4_2/n (No. 86, origin choice 2)
Symmetry-distinct sites (fractional):
Ce (0.2500, 0.2500, 0.2500)  8 O 2.34-2.35
I (0.0269, 0.7494, 0.2141)  3 O 1.81-1.86
O (0.0531, 0.3375, 0.0554)  1 I 1.83
O (0.0985, 0.3261, 0.5611)  1 I 1.86
O (0.1268, 0.8375, 0.7647)  1 I 1.81

## Properties
Formation energy without anion corrections (meV/atom): -942

=====

No. 3
Entry from the Alexandria database: a PBEsol-optimized structure of SmCrGe3 (meta-GGA SCAN).

abc: 6.0366 6.0366 5.5986
angles: 90.00 90.00 120.00
With the nearest neighbours (Å) after each atom.
Space group P6_3/mmc (No. 194)
Symmetry-distinct sites (fractional):
Sm (0.3333, 0.6667, 0.2500)  12 Ge 3.03-3.16
Cr (0.0000, 0.0000, 0.0000)  6 Ge 2.45
Ge (0.1921, 0.3843, 0.7500)  2 Cr 2.45, 2 Ge 2.56

=====

No. 4
Entry from the Alexandria database: a PBEsol-optimized structure of MnAl2Sb (meta-GGA SCAN).

abc: 8.7983 2.8642 6.3956
angles: 90.00 112.32 90.00
With the nearest neighbours (Å) after each atom.
Space group Cm (No. 8)
Symmetry-distinct sites (fractional):
Mn (0.0000, 0.0000, 0.0000)  5 Al 2.42-2.48, 2 Sb 2.62
Al (0.2597, 0.0000, 0.9527)  3 Mn 2.42-2.48
Al (0.4523, 0.0000, 0.6643)  2 Mn 2.48
Sb (0.1195, 0.5000, 0.3705)  2 Mn 2.62, 1 Al 2.79, 2 Sb 2.86

## Properties
Formation energy without anion corrections (meV/atom): 40

=====

No. 5
Entry from the Alexandria database: a PBEsol-optimized structure of SrSiRh3 (meta-GGA SCAN).

abc: 4.4875 4.4875 4.4875
angles: 90.00 90.00 90.00
With the nearest neighbours (Å) after each atom.
Space group Pm-3m (No. 221)
Symmetry-distinct sites (fractional):
Sr (0.0000, 0.0000, 0.0000)  12 Rh 3.17
Si (0.5000, 0.5000, 0.5000)  6 Rh 2.24
Rh (0.0000, 0.5000, 0.5000)  2 Si 2.24

## Properties
Formation energy without anion corrections (meV/atom): -426

=====

No. 6
Entry from the Alexandria database: a PBEsol-optimized structure of Zr3HgAu (meta-GGA SCAN).

abc: 5.1344 5.1344 5.1344
angles: 90.00 90.00 90.00
With the nearest neighbours (Å) after each atom.
Space group Pm-3m (No. 221)
Symmetry-distinct sites (fractional):
Zr (0.0000, 0.0000, 0.5000)  2 Hg 2.57
Hg (0.0000, 0.0000, 0.0000)  6 Zr 2.57
Au (0.5000, 0.5000, 0.5000)  12 Zr 3.63

=====

No. 7
Entry from the Alexandria database: a PBEsol-optimized structure of SnMoH2 (meta-GGA SCAN).

abc: 5.7152 5.7152 5.4499
angles: 90.00 90.00 90.00
With the nearest neighbours (Å) after each atom.
Space group I-42d (No. 122)
Symmetry-distinct sites (fractional):
Sn (0.0000, 0.0000, 0.0000)  8 H 2.52-2.65, 2 Mo 2.72
Mo (0.0000, 0.0000, 0.5000)  4 H 1.82
H (0.1576, 0.7500, 0.6250)  2 Mo 1.82

=====

No. 8
Entry from the Alexandria database: a PBEsol-optimized structure of BaFeAs2Pb (meta-GGA SCAN).

abc: 4.8802 4.8802 5.1097
angles: 90.00 90.00 90.00
With the nearest neighbours (Å) after each atom.
Space group P4/mmm (No. 123)
Symmetry-distinct sites (fractional):
Ba (0.0000, 0.0000, 0.0000)  4 Pb 3.45, 8 As 3.53
Fe (0.5000, 0.5000, 0.5000)  4 As 2.44, 2 Pb 2.55
As (0.0000, 0.5000, 0.5000)  2 Fe 2.44
Pb (0.5000, 0.5000, 0.0000)  2 Fe 2.55

=====

In μB/f.u., the spin magnetization values for the records above are, in order, 0.224, 0.000, 1.584, 2.242, 0.002, 0.000, 0.000, 3.612.
In states/eV/cell, the N(E_F) values for the records above are, in order, 3.69, 0.00, 3.06, 3.15, 4.90, 7.48, 7.11, 3.18.
In eV per atom, the VASP energy values for the records above are, in order, -22.970, -16.607, -24.506, -17.715, -27.147, -45.031, -19.091, -34.997.